Entry 1:
Entry from Alexandria: a relaxed structure of Tb2PrDySb4 (GGA-PBE).

## Properties
Size of the total moment = 0.00 μB per formula unit
Space group = No. 139
ΔE_f (raw) = -1.1477 eV/atom
VASP energy = -44.31 eV per formula unit
V = 30.90 A^3/atom

```
Tb2PrDySb4
1.0
-1.042 -2.485 5.668
-4.182 -3.955 -2.501
7.174 -0.972 -2.583
Sb Dy Tb Pr
4 1 2 1
Direct
0.937 0.437 0.000 Sb
0.683 0.683 0.492 Sb
0.191 0.191 0.508 Sb
0.437 0.937 0.000 Sb
0.437 0.437 0.000 Dy
0.687 0.187 0.500 Tb
0.187 0.687 0.500 Tb
0.937 0.937 0.000 Pr
```

Entry 2:
Entry from Alexandria: a relaxed structure of TbPr2Dy3Sb6 (GGA-PBE).

## Properties
Size of the total moment = 0.00 μB per formula unit
Space group = No. 12
ΔE_f (raw) = -1.1493 eV/atom
VASP energy = -66.52 eV per formula unit
V = 31.07 A^3/atom

```
TbPr2Dy3Sb6
1.0
-2.703 -0.134 3.530
-4.527 -6.685 -3.719
8.225 -4.478 3.326
Pr Tb Sb Dy
2 1 6 3
Direct
0.834 0.668 0.669 Pr
0.166 0.332 0.331 Pr
0.500 0.000 0.000 Tb
0.334 0.925 0.667 Sb
0.666 0.075 0.333 Sb
0.997 0.249 0.994 Sb
0.003 0.751 0.006 Sb
0.664 0.590 0.329 Sb
0.336 0.410 0.671 Sb
0.168 0.834 0.336 Dy
0.500 0.500 0.000 Dy
0.832 0.166 0.664 Dy
```

Entry 3:
Entry from Alexandria: a relaxed structure of TbPrDy2Sb4 (GGA-PBE).

## Properties
Size of the total moment = 0.00 μB per formula unit
Space group = No. 139
ΔE_f (raw) = -1.1420 eV/atom
VASP energy = -44.24 eV per formula unit
V = 30.81 A^3/atom

```
TbPrDy2Sb4
1.0
-4.974 1.824 -3.352
-0.912 -5.914 -1.871
-0.764 1.047 7.571
Tb Dy Sb Pr
1 2 4 1
Direct
0.437 0.437 0.000 Tb
0.687 0.187 0.500 Dy
0.187 0.687 0.500 Dy
0.937 0.437 0.000 Sb
0.683 0.683 0.493 Sb
0.437 0.937 0.000 Sb
0.191 0.191 0.507 Sb
0.937 0.937 0.000 Pr
```

Entry 4:
Entry from Alexandria: a relaxed structure of Tb3Pr2DySb6 (GGA-PBE).

## Properties
Size of the total moment = 0.00 μB per formula unit
Space group = No. 12
ΔE_f (raw) = -1.1545 eV/atom
VASP energy = -66.64 eV per formula unit
V = 31.20 A^3/atom

```
Tb3Pr2DySb6
1.0
-4.008 1.240 -1.497
1.802 -3.704 -7.891
-2.096 -7.870 5.720
Sb Tb Dy Pr
6 3 1 2
Direct
0.335 0.411 0.671 Sb
0.997 0.247 0.994 Sb
0.334 0.924 0.668 Sb
0.003 0.753 0.006 Sb
0.665 0.589 0.329 Sb
0.666 0.076 0.332 Sb
0.168 0.834 0.336 Tb
0.832 0.166 0.664 Tb
0.500 0.500 0.000 Tb
0.500 0.000 0.000 Dy
0.834 0.668 0.669 Pr
0.166 0.332 0.331 Pr
```

- What is the V in the fourth record?
  31.20 A^3/atom